# La4TlCuAg2 | the Alexandria database | GGA-PBE | relaxed
data_La4TlCuAg2
_chemical_formula_sum 'La4 Tl1 Cu1 Ag2'
_cell_length_a 9.3347
_cell_length_b 9.3347
_cell_length_c 9.3347
_cell_angle_alpha 33.83
_cell_angle_beta 33.83
_cell_angle_gamma 33.83
_space_group_name_H-M_alt 'P 1'
_space_group_IT_number 1
loop_
_space_group_symop_operation_xyz
'x,y,z'
loop_
_atom_site_label
_atom_site_type_symbol
_atom_site_fract_x
_atom_site_fract_y
_atom_site_fract_z
La1 La 0.1167 0.1167 0.1167
La2 La 0.3675 0.3675 0.3675
La3 La 0.6325 0.6325 0.6325
La4 La 0.8833 0.8833 0.8833
Tl1 Tl 0.5000 0.5000 0.5000
Cu1 Cu 0.0000 0.0000 0.0000
Ag1 Ag 0.2430 0.2430 0.2430
Ag2 Ag 0.7570 0.7570 0.7570
# - energy (eV per cell) = -34.0
# - density of states at the Fermi level (states/eV/cell) = 7.823
# - SG = R-3m, No. 166

# La2Zn3Cu12Ag | the Alexandria database | GGA-PBE | relaxed
data_La2Zn3Cu12Ag
_chemical_formula_sum 'La2 Zn3 Cu12 Ag1'
_cell_length_a 7.5813
_cell_length_b 7.5813
_cell_length_c 7.5813
_cell_angle_alpha 66.07
_cell_angle_beta 66.07
_cell_angle_gamma 66.07
_space_group_name_H-M_alt 'P 1'
_space_group_IT_number 1
loop_
_space_group_symop_operation_xyz
'x,y,z'
loop_
_atom_site_label
_atom_site_type_symbol
_atom_site_fract_x
_atom_site_fract_y
_atom_site_fract_z
La1 La 0.0995 0.0995 0.0995
La2 La 0.9005 0.9005 0.9005
Zn1 Zn 0.0000 0.5000 0.5000
Zn2 Zn 0.5000 0.0000 0.5000
Zn3 Zn 0.5000 0.5000 0.0000
Cu1 Cu 0.1395 0.6443 0.6443
Cu2 Cu 0.1449 0.1449 0.4798
Cu3 Cu 0.1449 0.4798 0.1449
Cu4 Cu 0.3557 0.3557 0.8605
Cu5 Cu 0.3557 0.8605 0.3557
Cu6 Cu 0.4798 0.1449 0.1449
Cu7 Cu 0.5202 0.8551 0.8551
Cu8 Cu 0.6443 0.1395 0.6443
Cu9 Cu 0.6443 0.6443 0.1395
Cu10 Cu 0.8551 0.5202 0.8551
Cu11 Cu 0.8551 0.8551 0.5202
Cu12 Cu 0.8605 0.3557 0.3557
Ag1 Ag 0.5000 0.5000 0.5000
# - energy (eV per cell) = -60.6
# - density of states at the Fermi level (states/eV/cell) = 6.012
# - SG = R-3m, No. 166

# LaZn4CuAg2 | the Alexandria database | GGA-PBE | relaxed
data_LaZn4CuAg2
_chemical_formula_sum 'La1 Zn4 Cu1 Ag2'
_cell_length_a 9.3067
_cell_length_b 9.3067
_cell_length_c 9.3067
_cell_angle_alpha 27.34
_cell_angle_beta 27.34
_cell_angle_gamma 27.34
_space_group_name_H-M_alt 'P 1'
_space_group_IT_number 1
loop_
_space_group_symop_operation_xyz
'x,y,z'
loop_
_atom_site_label
_atom_site_type_symbol
_atom_site_fract_x
_atom_site_fract_y
_atom_site_fract_z
La1 La 0.0000 0.0000 0.0000
Zn1 Zn 0.1356 0.1356 0.1356
Zn2 Zn 0.4043 0.4043 0.4043
Zn3 Zn 0.5957 0.5957 0.5957
Zn4 Zn 0.8644 0.8644 0.8644
Cu1 Cu 0.5000 0.5000 0.5000
Ag1 Ag 0.2386 0.2386 0.2386
Ag2 Ag 0.7614 0.7614 0.7614
# - energy (eV per cell) = -20.9
# - density of states at the Fermi level (states/eV/cell) = 3.990
# - SG = R-3m, No. 166

# La2Zn12Cu3Ag | the Alexandria database | GGA-PBE | relaxed
data_La2Zn12Cu3Ag
_chemical_formula_sum 'La2 Zn12 Cu3 Ag1'
_cell_length_a 8.2401
_cell_length_b 8.2401
_cell_length_c 8.2401
_cell_angle_alpha 59.24
_cell_angle_beta 59.24
_cell_angle_gamma 59.24
_space_group_name_H-M_alt 'P 1'
_space_group_IT_number 1
loop_
_space_group_symop_operation_xyz
'x,y,z'
loop_
_atom_site_label
_atom_site_type_symbol
_atom_site_fract_x
_atom_site_fract_y
_atom_site_fract_z
La1 La 0.1156 0.1156 0.1156
La2 La 0.8844 0.8844 0.8844
Zn1 Zn 0.1132 0.6198 0.6198
Zn2 Zn 0.1471 0.1471 0.6249
Zn3 Zn 0.1471 0.6249 0.1471
Zn4 Zn 0.3751 0.8529 0.8529
Zn5 Zn 0.3802 0.3802 0.8868
Zn6 Zn 0.3802 0.8868 0.3802
Zn7 Zn 0.6198 0.1132 0.6198
Zn8 Zn 0.6198 0.6198 0.1132
Zn9 Zn 0.6249 0.1471 0.1471
Zn10 Zn 0.8529 0.3751 0.8529
Zn11 Zn 0.8529 0.8529 0.3751
Zn12 Zn 0.8868 0.3802 0.3802
Cu1 Cu 0.0000 0.5000 0.5000
Cu2 Cu 0.5000 0.0000 0.5000
Cu3 Cu 0.5000 0.5000 0.0000
Ag1 Ag 0.5000 0.5000 0.5000
# - energy (eV per cell) = -36.4
# - density of states at the Fermi level (states/eV/cell) = 9.216
# - SG = R-3m, No. 166

# LaZrCuAg2 | the Alexandria database | GGA-PBE | relaxed
data_LaZrCuAg2
_chemical_formula_sum 'La1 Zr1 Cu1 Ag2'
_cell_length_a 4.8985
_cell_length_b 4.8985
_cell_length_c 5.1114
_cell_angle_alpha 90.00
_cell_angle_beta 90.00
_cell_angle_gamma 90.00
_space_group_name_H-M_alt 'P 1'
_space_group_IT_number 1
loop_
_space_group_symop_operation_xyz
'x,y,z'
loop_
_atom_site_label
_atom_site_type_symbol
_atom_site_fract_x
_atom_site_fract_y
_atom_site_fract_z
La1 La 0.0000 0.0000 0.0000
Zr1 Zr 0.5000 0.5000 0.0000
Cu1 Cu 0.0000 0.0000 0.5000
Ag1 Ag 0.0000 0.5000 0.5000
Ag2 Ag 0.5000 0.0000 0.5000
# - energy (eV per cell) = -20.8
# - density of states at the Fermi level (states/eV/cell) = 6.602
# - SG = P4/mmm, No. 123

# LiCu2Ag | the Alexandria database | GGA-PBE | relaxed
data_LiCu2Ag
_chemical_formula_sum 'Li1 Cu2 Ag1'
_cell_length_a 4.6057
_cell_length_b 4.6057
_cell_length_c 4.6057
_cell_angle_alpha 130.52
_cell_angle_beta 130.52
_cell_angle_gamma 72.57
_space_group_name_H-M_alt 'P 1'
_space_group_IT_number 1
loop_
_space_group_symop_operation_xyz
'x,y,z'
loop_
_atom_site_label
_atom_site_type_symbol
_atom_site_fract_x
_atom_site_fract_y
_atom_site_fract_z
Li1 Li 0.0000 0.0000 0.0000
Cu1 Cu 0.5000 0.5000 0.0000
Cu2 Cu 0.7500 0.2500 0.5000
Ag1 Ag 0.2500 0.7500 0.5000
# - energy (eV per cell) = -13.1
# - density of states at the Fermi level (states/eV/cell) = 1.259
# - SG = I-4m2, No. 119
# - distance to the lowest polymorph of the same formula (meV per atom) = 9

# Li6CuAg2 | the Alexandria database | GGA-PBE | relaxed
data_Li6CuAg2
_chemical_formula_sum 'Li6 Cu1 Ag2'
_cell_length_a 7.7615
_cell_length_b 7.7615
_cell_length_c 2.8086
_cell_angle_alpha 90.00
_cell_angle_beta 90.00
_cell_angle_gamma 120.00
_space_group_name_H-M_alt 'P 1'
_space_group_IT_number 1
loop_
_space_group_symop_operation_xyz
'x,y,z'
loop_
_atom_site_label
_atom_site_type_symbol
_atom_site_fract_x
_atom_site_fract_y
_atom_site_fract_z
Li1 Li 0.0000 0.3682 0.0000
Li2 Li 0.0000 0.7141 0.5000
Li3 Li 0.2859 0.2859 0.5000
Li4 Li 0.3682 0.0000 0.0000
Li5 Li 0.6318 0.6318 0.0000
Li6 Li 0.7141 0.0000 0.5000
Cu1 Cu 0.0000 0.0000 0.0000
Ag1 Ag 0.3333 0.6667 0.5000
Ag2 Ag 0.6667 0.3333 0.5000
# - energy (eV per cell) = -22.2
# - density of states at the Fermi level (states/eV/cell) = 2.702
# - SG = P-62m, No. 189

# LiCu2Ag2 | the Alexandria database | GGA-PBE | relaxed
data_LiCu2Ag2
_chemical_formula_sum 'Li1 Cu2 Ag2'
_cell_length_a 7.3834
_cell_length_b 7.3834
_cell_length_c 7.3834
_cell_angle_alpha 153.15
_cell_angle_beta 153.15
_cell_angle_gamma 38.33
_space_group_name_H-M_alt 'P 1'
_space_group_IT_number 1
loop_
_space_group_symop_operation_xyz
'x,y,z'
loop_
_atom_site_label
_atom_site_type_symbol
_atom_site_fract_x
_atom_site_fract_y
_atom_site_fract_z
Li1 Li 0.0000 0.0000 0.0000
Cu1 Cu 0.2500 0.7500 0.5000
Cu2 Cu 0.7500 0.2500 0.5000
Ag1 Ag 0.3999 0.3999 0.0000
Ag2 Ag 0.6001 0.6001 0.0000
# - energy (eV per cell) = -15.4
# - density of states at the Fermi level (states/eV/cell) = 1.275
# - SG = I4/mmm, No. 139
# - distance to the lowest polymorph of the same formula (meV per atom) = 44

# Li4Cu2Ag3 | the Alexandria database | GGA-PBE | relaxed
data_Li4Cu2Ag3
_chemical_formula_sum 'Li4 Cu2 Ag3'
_cell_length_a 5.2478
_cell_length_b 5.2478
_cell_length_c 7.7774
_cell_angle_alpha 119.85
_cell_angle_beta 119.85
_cell_angle_gamma 49.85
_space_group_name_H-M_alt 'P 1'
_space_group_IT_number 1
loop_
_space_group_symop_operation_xyz
'x,y,z'
loop_
_atom_site_label
_atom_site_type_symbol
_atom_site_fract_x
_atom_site_fract_y
_atom_site_fract_z
Li1 Li 0.1012 0.1012 0.4249
Li2 Li 0.2510 0.2510 0.9101
Li3 Li 0.7490 0.7490 0.0899
Li4 Li 0.8988 0.8988 0.5751
Cu1 Cu 0.4328 0.4328 0.7655
Cu2 Cu 0.5672 0.5672 0.2345
Ag1 Ag 0.0000 0.0000 0.0000
Ag2 Ag 0.3344 0.3344 0.3364
Ag3 Ag 0.6656 0.6656 0.6636
# - energy (eV per cell) = -25.2
# - density of states at the Fermi level (states/eV/cell) = 3.343
# - SG = C2/m, No. 12

# LiCu2Ag | the Alexandria database | GGA-PBE | relaxed
data_LiCu2Ag
_chemical_formula_sum 'Li1 Cu2 Ag1'
_cell_length_a 4.7914
_cell_length_b 4.7914
_cell_length_c 4.7914
_cell_angle_alpha 135.86
_cell_angle_beta 133.41
_cell_angle_gamma 66.12
_space_group_name_H-M_alt 'P 1'
_space_group_IT_number 1
loop_
_space_group_symop_operation_xyz
'x,y,z'
loop_
_atom_site_label
_atom_site_type_symbol
_atom_site_fract_x
_atom_site_fract_y
_atom_site_fract_z
Li1 Li 0.0000 0.0000 0.0000
Cu1 Cu 0.2481 0.7481 0.5000
Cu2 Cu 0.7519 0.2519 0.5000
Ag1 Ag 0.5000 0.5000 0.0000
# - energy (eV per cell) = -13.1
# - density of states at the Fermi level (states/eV/cell) = 1.116
# - SG = Immm, No. 71
# - distance to the lowest polymorph of the same formula (meV per atom) = 0

# LiCu2Ag | the Alexandria database | GGA-PBE | relaxed
data_LiCu2Ag
_chemical_formula_sum 'Li1 Cu2 Ag1'
_cell_length_a 3.0172
_cell_length_b 3.0172
_cell_length_c 6.0703
_cell_angle_alpha 90.00
_cell_angle_beta 90.00
_cell_angle_gamma 90.00
_space_group_name_H-M_alt 'P 1'
_space_group_IT_number 1
loop_
_space_group_symop_operation_xyz
'x,y,z'
loop_
_atom_site_label
_atom_site_type_symbol
_atom_site_fract_x
_atom_site_fract_y
_atom_site_fract_z
Li1 Li 0.0000 0.0000 0.0000
Cu1 Cu 0.0000 0.0000 0.5483
Cu2 Cu 0.5000 0.5000 0.7611
Ag1 Ag 0.5000 0.5000 0.2708
# - energy (eV per cell) = -13.0
# - density of states at the Fermi level (states/eV/cell) = 1.351
# - SG = P4mm, No. 99
# - distance to the lowest polymorph of the same formula (meV per atom) = 29

# Li4CuAg5 | the Alexandria database | GGA-PBE | relaxed
data_Li4CuAg5
_chemical_formula_sum 'Li4 Cu1 Ag5'
_cell_length_a 6.3241
_cell_length_b 6.3241
_cell_length_c 6.3241
_cell_angle_alpha 99.01
_cell_angle_beta 99.01
_cell_angle_gamma 133.39
_space_group_name_H-M_alt 'P 1'
_space_group_IT_number 1
loop_
_space_group_symop_operation_xyz
'x,y,z'
loop_
_atom_site_label
_atom_site_type_symbol
_atom_site_fract_x
_atom_site_fract_y
_atom_site_fract_z
Li1 Li 0.1487 0.2192 0.3679
Li2 Li 0.2192 0.8513 0.0705
Li3 Li 0.7808 0.1487 0.9295
Li4 Li 0.8513 0.7808 0.6321
Cu1 Cu 0.7525 0.7525 0.0000
Ag1 Ag 0.1884 0.5441 0.7010
Ag2 Ag 0.2706 0.2706 0.0000
Ag3 Ag 0.4875 0.1884 0.6444
Ag4 Ag 0.5441 0.8431 0.3556
Ag5 Ag 0.8431 0.4875 0.2990
# - energy (eV per cell) = -26.3
# - density of states at the Fermi level (states/eV/cell) = 1.831
# - SG = I4, No. 79
# - distance to the lowest polymorph of the same formula (meV per atom) = 116